This record from the Alexandria database describes MgTaAg2 after structural relaxation. The functional is PBE.

Computed properties:
Space group: P2/m
ΔH_f (0 K): 0.21 eV per atom
ρ: 9.6 g cm⁻³

a = 2.8177 Å, b = 4.1962 Å, c = 6.1326 Å
α = 90.00°, β = 90.76°, γ = 90.00°
Atoms (fractional coordinates):
Mg (0.0000, 0.0000, 0.0000)
Ta (0.0000, 0.0000, 0.5000)
Ag (0.4957, 0.5000, 0.2543)
Ag (0.5043, 0.5000, 0.7457)